Entry 1:
Here is a relaxed Ho6Er3Zr crystal from the Alexandria database. Energies are from PBE.

```
20
Lattice="4.8717 0.0000 0.0000 0.0000 11.3416 0.0000 -0.0120 0.0000 11.3390" Properties=species:S:1:pos:R:3 pbc="T T T"
Ho 0.0002 1.6762 1.6746
Ho -0.0058 3.9946 7.3441
Ho 4.8656 7.3470 3.9949
Ho 4.8596 9.6654 9.6644
Ho 2.4243 0.0022 8.1043
Ho 2.4303 5.6686 2.4348
Ho 2.4296 2.4327 5.6669
Ho 2.4236 3.2381 11.3363
Ho 2.4361 8.1035 0.0026
Ho 2.4301 8.9088 5.6721
Ho 2.4355 11.3394 3.2347
Ho 2.4294 5.6729 8.9042
Er -0.0060 0.0000 5.6695
Er 4.8592 1.6673 9.6724
Er 4.8652 4.0035 4.0029
Er 0.0000 5.6708 0.0000
Er -0.0055 7.3381 7.3360
Er 0.0005 9.6743 1.6665
Zr 2.4359 0.0000 0.0000
Zr 2.4299 5.6708 5.6695
```

Properties
volume = 31.326 Å³ per atom
spin magnetization = 0.0 μB/cell
formation enthalpy at 0 K = 2.1 eV/f.u.
uncorrected energy = -47.616 eV/f.u.

Entry 2:
Here is a relaxed Th8As3Se5 crystal from the Alexandria database. Energies are from PBE.

```
16
Lattice="4.2333 2.4441 6.8669 -4.2333 2.4441 6.8669 0.0000 -4.8882 6.8669" Properties=species:S:1:pos:R:3 pbc="T T T"
Th -2.1292 -1.2293 11.9965
Th 0.0000 0.0000 5.1200
Th 0.0000 -2.4586 8.6040
Th -2.1292 1.2293 8.6040
Th 2.1292 -1.2293 11.9965
Th 0.0000 2.4586 11.9965
Th 0.0000 0.0000 15.4806
Th 2.1292 1.2293 8.6040
As -4.2333 0.0000 10.3003
As -2.1166 1.2220 3.4334
As 2.1166 1.2220 3.4334
Se 0.0000 0.0000 0.0000
Se -2.1166 -1.2220 6.8669
Se -2.1166 1.2220 13.7337
Se 0.0000 2.4441 6.8668
Se 0.0000 0.0000 10.3003
```

Properties
volume = 26.643 Å³ per atom
energy relative to the elements, uncorrected = -1507 meV per atom
spin magnetization = 0.0 μB/cell
uncorrected energy = -114.846 eV/f.u.

Entry 3:
Here is a relaxed CsYZrCl2 crystal from the Alexandria database. Energies are from PBE.

```
5
Lattice="5.4424 0.0000 0.0000 0.0000 5.4424 0.0000 0.0000 0.0000 6.3696" Properties=species:S:1:pos:R:3 pbc="T T T"
Cs 0.0000 0.0000 0.0000
Y 2.7212 2.7212 3.1848
Zr 2.7212 2.7212 0.0000
Cl 0.0000 2.7212 3.1848
Cl 2.7212 0.0000 3.1848
```

Properties
volume = 37.734 Å³ per atom
energy relative to the elements, uncorrected = -385 meV per atom
spin magnetization = 4.1 μB/cell
uncorrected energy = -21.486 eV/f.u.

Question: Number 1 is which compound?
Answer: Ho6Er3Zr

Question: Which of these has the highest spin magnetization?
Answer: CsYZrCl2